1.
Entry from Alexandria: a relaxed structure of YPaCuRh (PBE).

Geometry as CIF:
```
data_YPaCuRh
_cell_length_a 6.9194
_cell_length_b 6.9194
_cell_length_c 6.9194
_cell_angle_alpha 90.00
_cell_angle_beta 90.00
_cell_angle_gamma 90.00
_symmetry_space_group_name_H-M 'F -4 3 m'
_symmetry_Int_Tables_number 216
_symmetry_space_group_name_Hall 'F -4 2 3'
loop_
_atom_site_label
_atom_site_type_symbol
_atom_site_fract_x
_atom_site_fract_y
_atom_site_fract_z
Y1 Y 0.0000 0.0000 0.0000
Pa1 Pa 0.0000 0.0000 0.5000
Cu1 Cu 0.2500 0.2500 0.2500
Rh1 Rh 0.2500 0.2500 0.7500
```

Values from the calculation:
The calculated total energy is -7.1589 eV/atom. Its crystal system is cubic. Its formation energy is -0.31 eV per atom.

---

2.
Entry from Alexandria: a relaxed structure of DyIn2Au6 (PBE).

Geometry as CIF:
```
data_DyIn2Au6
_cell_length_a 5.2853
_cell_length_b 15.2904
_cell_length_c 5.1612
_cell_angle_alpha 90.00
_cell_angle_beta 119.60
_cell_angle_gamma 90.00
_symmetry_space_group_name_H-M 'C 1 2/m 1'
_symmetry_Int_Tables_number 12
loop_
_symmetry_equiv_pos_as_xyz
'x,y,z'
'-x,-y,-z'
'-x,y,-z'
'x,-y,z'
'x+1/2,y+1/2,z'
'-x+1/2,-y+1/2,-z'
'-x+1/2,y+1/2,-z'
'x+1/2,-y+1/2,z'
loop_
_atom_site_label
_atom_site_type_symbol
_atom_site_fract_x
_atom_site_fract_y
_atom_site_fract_z
Dy1 Dy 0.0000 0.0000 0.0000
In1 In 0.0000 0.1615 0.5000
Au1 Au 0.1586 0.5000 0.3276
Au2 Au 0.1646 0.3312 0.8312
```

Values from the calculation:
The calculated total energy is -3.6705 eV/atom. Its crystal system is monoclinic. Its formation energy is -0.37 eV per atom.

---

3.
Entry from Alexandria: a relaxed structure of Y2MnSb (PBE).

Geometry as CIF:
```
data_Y2MnSb
_cell_length_a 3.8457
_cell_length_b 3.8457
_cell_length_c 6.8050
_cell_angle_alpha 90.00
_cell_angle_beta 90.00
_cell_angle_gamma 90.00
_symmetry_space_group_name_H-M 'P 4/m m m'
_symmetry_Int_Tables_number 123
_symmetry_space_group_name_Hall '-P 4 2'
loop_
_atom_site_label
_atom_site_type_symbol
_atom_site_fract_x
_atom_site_fract_y
_atom_site_fract_z
Y1 Y 0.0000 0.0000 0.2474
Mn1 Mn 0.5000 0.5000 0.0000
Sb1 Sb 0.5000 0.5000 0.5000
```

Values from the calculation:
The calculated total energy is -6.9205 eV/atom. Its crystal system is tetragonal. As for the uncorrected formation energy: -141 kJ/mol of formula units.

---

4.
Entry from Alexandria: a relaxed structure of Zn6Cu12Ir (PBE).

Geometry as CIF:
```
data_Zn6Cu12Ir
_cell_length_a 8.9494
_cell_length_b 8.9494
_cell_length_c 10.9748
_cell_angle_alpha 90.00
_cell_angle_beta 90.00
_cell_angle_gamma 120.00
_symmetry_space_group_name_H-M 'R -3'
_symmetry_Int_Tables_number 148
_symmetry_space_group_name_Hall '-R 3'
loop_
_atom_site_label
_atom_site_type_symbol
_atom_site_fract_x
_atom_site_fract_y
_atom_site_fract_z
Zn1 Zn 0.0194 0.5901 0.2048
Cu1 Cu 0.0279 0.8474 0.3070
Cu2 Cu 0.0611 0.2060 0.9126
Ir1 Ir 0.0000 0.0000 0.5000
```

Values from the calculation:
The calculated total energy is -3.4595 eV/atom. Its crystal system is trigonal. Its formation energy is 0.00 eV per atom.

---

5.
Entry from Alexandria: a relaxed structure of YPaHgO6 (PBE).

Geometry as CIF:
```
data_YPaHgO6
_cell_length_a 5.6458
_cell_length_b 5.6458
_cell_length_c 4.9102
_cell_angle_alpha 90.00
_cell_angle_beta 90.00
_cell_angle_gamma 120.00
_symmetry_space_group_name_H-M 'P 3 1 2'
_symmetry_Int_Tables_number 149
loop_
_symmetry_equiv_pos_as_xyz
'x,y,z'
'-y,x-y,z'
'-x+y,-x,z'
'-y,-x,-z'
'-x+y,y,-z'
'x,x-y,-z'
loop_
_atom_site_label
_atom_site_type_symbol
_atom_site_fract_x
_atom_site_fract_y
_atom_site_fract_z
Y1 Y 0.0000 0.0000 0.0000
Pa1 Pa 0.3333 0.6667 0.5000
Hg1 Hg 0.6667 0.3333 0.0000
O1 O 0.0156 0.3491 0.2492
```

Values from the calculation:
The calculated total energy is -7.2920 eV/atom. Its crystal system is trigonal. As for the uncorrected formation energy: -1893 kJ/mol of formula units.

---

6.
Entry from Alexandria: a relaxed structure of Cs3TcI8 (PBE).

Geometry as CIF:
```
data_Cs3TcI8
_cell_length_a 11.6646
_cell_length_b 11.6646
_cell_length_c 9.8605
_cell_angle_alpha 90.00
_cell_angle_beta 90.00
_cell_angle_gamma 120.00
_symmetry_space_group_name_H-M 'P 63 m c'
_symmetry_Int_Tables_number 186
_symmetry_space_group_name_Hall 'P 6c -2c'
loop_
_atom_site_label
_atom_site_type_symbol
_atom_site_fract_x
_atom_site_fract_y
_atom_site_fract_z
Cs1 Cs 0.1513 0.3026 0.0000
Tc1 Tc 0.3333 0.6667 0.4284
I1 I 0.0000 0.0000 0.2518
I2 I 0.1123 0.5562 0.2697
I3 I 0.2224 0.4447 0.5922
I4 I 0.3333 0.6667 0.9271
```

Values from the calculation:
The calculated total energy is -2.8788 eV/atom. Its crystal system is hexagonal. As for the uncorrected formation energy: -889 kJ/mol of formula units.

---

7.
Entry from Alexandria: a relaxed structure of TlReCO2 (PBE).

Geometry as CIF:
```
data_TlReCO2
_cell_length_a 3.9124
_cell_length_b 3.9124
_cell_length_c 4.2604
_cell_angle_alpha 90.00
_cell_angle_beta 90.00
_cell_angle_gamma 90.00
_symmetry_space_group_name_H-M 'P 4/m m m'
_symmetry_Int_Tables_number 123
_symmetry_space_group_name_Hall '-P 4 2'
loop_
_atom_site_label
_atom_site_type_symbol
_atom_site_fract_x
_atom_site_fract_y
_atom_site_fract_z
Tl1 Tl 0.0000 0.0000 0.0000
Re1 Re 0.5000 0.5000 0.5000
C1 C 0.5000 0.5000 0.0000
O1 O 0.0000 0.5000 0.5000
```

Values from the calculation:
The calculated total energy is -6.9933 eV/atom. Its crystal system is tetragonal. As for the uncorrected formation energy: -98 kJ/mol of formula units.

---

8.
Entry from Alexandria: a relaxed structure of RbNbFeTePd (PBE).

Geometry as CIF:
```
data_RbNbFeTePd
_cell_length_a 4.0016
_cell_length_b 4.0016
_cell_length_c 27.3953
_cell_angle_alpha 90.00
_cell_angle_beta 90.00
_cell_angle_gamma 120.00
_symmetry_space_group_name_H-M 'R 3 m'
_symmetry_Int_Tables_number 160
_symmetry_space_group_name_Hall 'R 3 -2"'
loop_
_atom_site_label
_atom_site_type_symbol
_atom_site_fract_x
_atom_site_fract_y
_atom_site_fract_z
Rb1 Rb 0.0000 0.0000 0.0000
Nb1 Nb 0.0000 0.0000 0.1521
Fe1 Fe 0.0000 0.0000 0.8561
Te1 Te 0.0000 0.0000 0.5582
Pd1 Pd 0.0000 0.0000 0.7613
```

Values from the calculation:
The calculated total energy is -5.5779 eV/atom. Its crystal system is trigonal. As for the uncorrected formation energy: -5 kJ/mol of formula units.

---

9.
Entry from Alexandria: a relaxed structure of Sm3ZnIn2 (PBE).

Geometry as CIF:
```
data_Sm3ZnIn2
_cell_length_a 3.7045
_cell_length_b 3.7045
_cell_length_c 11.7207
_cell_angle_alpha 90.00
_cell_angle_beta 90.00
_cell_angle_gamma 90.00
_symmetry_space_group_name_H-M 'P 4/m m m'
_symmetry_Int_Tables_number 123
_symmetry_space_group_name_Hall '-P 4 2'
loop_
_atom_site_label
_atom_site_type_symbol
_atom_site_fract_x
_atom_site_fract_y
_atom_site_fract_z
Sm1 Sm 0.0000 0.0000 0.0000
Sm2 Sm 0.0000 0.0000 0.3505
Zn1 Zn 0.5000 0.5000 0.5000
In1 In 0.5000 0.5000 0.1766
```

Values from the calculation:
The calculated total energy is -3.9257 eV/atom. Its crystal system is tetragonal. Its formation energy is -0.44 eV per atom.

---

10.
Entry from Alexandria: a relaxed structure of Na2SrNbRh (PBE).

Geometry as CIF:
```
data_Na2SrNbRh
_cell_length_a 5.2896
_cell_length_b 5.2896
_cell_length_c 5.4283
_cell_angle_alpha 90.00
_cell_angle_beta 90.00
_cell_angle_gamma 90.00
_symmetry_space_group_name_H-M 'P 4/m m m'
_symmetry_Int_Tables_number 123
_symmetry_space_group_name_Hall '-P 4 2'
loop_
_atom_site_label
_atom_site_type_symbol
_atom_site_fract_x
_atom_site_fract_y
_atom_site_fract_z
Na1 Na 0.0000 0.5000 0.0000
Sr1 Sr 0.0000 0.0000 0.5000
Nb1 Nb 0.5000 0.5000 0.5000
Rh1 Rh 0.0000 0.0000 0.0000
```

Values from the calculation:
The calculated total energy is -3.0836 eV/atom. Its crystal system is tetragonal. Its formation energy is 1.26 eV per atom.

---

11.
Entry from Alexandria: a relaxed structure of Cd2Fe2Bi (PBE).

Geometry as CIF:
```
data_Cd2Fe2Bi
_cell_length_a 6.8509
_cell_length_b 6.8509
_cell_length_c 4.1604
_cell_angle_alpha 90.00
_cell_angle_beta 90.00
_cell_angle_gamma 90.00
_symmetry_space_group_name_H-M 'P 4/m b m'
_symmetry_Int_Tables_number 127
_symmetry_space_group_name_Hall '-P 4 2ab'
loop_
_atom_site_label
_atom_site_type_symbol
_atom_site_fract_x
_atom_site_fract_y
_atom_site_fract_z
Cd1 Cd 0.1616 0.3384 0.0000
Fe1 Fe 0.1211 0.6211 0.5000
Bi1 Bi 0.0000 0.0000 0.5000
```

Values from the calculation:
The calculated total energy is -4.1478 eV/atom. Its crystal system is tetragonal. Its formation energy is 0.38 eV per atom.

---

12.
Entry from Alexandria: a relaxed structure of Ac4Cd5Au6 (PBE).

Geometry as CIF:
```
data_Ac4Cd5Au6
_cell_length_a 4.4490
_cell_length_b 22.4463
_cell_length_c 16.5745
_cell_angle_alpha 90.00
_cell_angle_beta 90.00
_cell_angle_gamma 90.00
_symmetry_space_group_name_H-M 'C m c 21'
_symmetry_Int_Tables_number 36
loop_
_symmetry_equiv_pos_as_xyz
'x,y,z'
'-x,-y,z+1/2'
'-x,y,z'
'x,-y,z+1/2'
'x+1/2,y+1/2,z'
'-x+1/2,-y+1/2,z+1/2'
'-x+1/2,y+1/2,z'
'x+1/2,-y+1/2,z+1/2'
loop_
_atom_site_label
_atom_site_type_symbol
_atom_site_fract_x
_atom_site_fract_y
_atom_site_fract_z
Ac1 Ac 0.0000 0.0093 0.0000
Ac2 Ac 0.0000 0.0377 0.2609
Ac3 Ac 0.0000 0.1577 0.7913
Ac4 Ac 0.0000 0.1859 0.4271
Cd1 Cd 0.0000 0.1571 0.1174
Cd2 Cd 0.0000 0.3029 0.1014
Cd3 Cd 0.0000 0.3371 0.7564
Cd4 Cd 0.0000 0.3605 0.4703
Cd5 Cd 0.0000 0.4435 0.1621
Au1 Au 0.0000 0.1166 0.5979
Au2 Au 0.0000 0.2191 0.9686
Au3 Au 0.0000 0.2434 0.2508
Au4 Au 0.0000 0.4231 0.8987
Au5 Au 0.0000 0.4279 0.6204
Au6 Au 0.0000 0.4480 0.3440
```

Values from the calculation:
The calculated total energy is -3.2764 eV/atom. Its crystal system is orthorhombic. Its formation energy is -0.56 eV per atom.

---

| no. | density (g cm⁻³) | density of states at the Fermi level (states/eV/cell) |
| --- | --- | --- |
| 1 | 9.8 | 23.15 |
| 2 | 14.4 | 5.49 |
| 3 | 5.8 | 2.07 |
| 4 | 8.8 | 18.98 |
| 5 | 7.6 | 6.15 |
| 6 | 4.3 | 8.46 |
| 7 | 11.1 | 2.04 |
| 8 | 6.1 | 5.07 |
| 9 | 7.7 | 4.18 |
| 10 | 3.6 | 3.33 |
| 11 | 9.3 | 5.38 |
| 12 | 10.6 | 40.41 |